No. 1
Compound: Fe2CoAsBr
Source: Alexandria
Functional: PBE
Structure: optimized geometry

Lattice parameters (Å, degrees): 4.7713 4.2229 4.7713 90.00 90.00 90.00
Atoms (fractional coordinates):
1 As 0.0000 0.5000 0.0000
2 Co 0.0000 0.0000 0.0000
3 Fe 0.0000 0.0000 0.5000
4 Fe 0.5000 0.0000 0.0000
5 Br 0.5000 0.5000 0.5000

Properties
The value obtained for the calculated total energy is -5.42 eV per atom. The density of states at the Fermi level comes out at 4.72 states/eV/f.u. For the energy relative to the elements, uncorrected, the calculation gives 3.26 eV per formula unit. Its space group is P4/mmm.


No. 2
Compound: GaCoAsBr2
Source: Alexandria
Functional: PBE
Structure: optimized geometry

Lattice parameters (Å, degrees): 5.1479 5.1479 5.0720 90.00 90.00 90.00
Atoms (fractional coordinates):
1 As 0.0000 0.0000 0.5000
2 Co 0.5000 0.5000 0.5000
3 Ga 0.0000 0.0000 0.0000
4 Br 0.0000 0.5000 0.0000
5 Br 0.5000 0.0000 0.0000

Properties
The value obtained for the calculated total energy is -2.88 eV per atom. The density of states at the Fermi level comes out at 6.69 states/eV/f.u. Its polymorph energy (0 for the lowest one) is 3.35 eV/f.u. For the energy relative to the elements, uncorrected, the calculation gives 3.74 eV per formula unit. Its space group is P4/mmm.


No. 3
Compound: GaCoAsBr2
Source: Alexandria
Functional: PBE
Structure: optimized geometry

Lattice parameters (Å, degrees): 5.2624 5.2624 4.3833 90.00 90.00 90.00
Atoms (fractional coordinates):
1 As 0.0000 0.0000 0.5000
2 Co 0.0000 0.0000 0.0000
3 Ga 0.5000 0.5000 0.5000
4 Br 0.0000 0.5000 0.0000
5 Br 0.5000 0.0000 0.0000

Properties
The value obtained for the calculated total energy is -3.55 eV per atom. The density of states at the Fermi level comes out at 1.72 states/eV/f.u. Its polymorph energy (0 for the lowest one) is 0.00 eV/f.u. For the energy relative to the elements, uncorrected, the calculation gives 0.39 eV per formula unit. Its space group is P4/mmm.


No. 4
Compound: CoGeAsBr2
Source: Alexandria
Functional: PBE
Structure: optimized geometry

Lattice parameters (Å, degrees): 5.1874 5.1874 5.2284 90.00 90.00 90.00
Atoms (fractional coordinates):
1 As 0.0000 0.0000 0.5000
2 Co 0.5000 0.5000 0.5000
3 Ge 0.0000 0.0000 0.0000
4 Br 0.0000 0.5000 0.0000
5 Br 0.5000 0.0000 0.0000

Properties
The value obtained for the calculated total energy is -3.11 eV per atom. The density of states at the Fermi level comes out at 7.59 states/eV/f.u. Its polymorph energy (0 for the lowest one) is 2.28 eV/f.u. For the energy relative to the elements, uncorrected, the calculation gives 4.18 eV per formula unit. Its space group is P4/mmm.